Entry 1:
An optimized crystal structure of SrH3Pt, computed with PBE.

a = 13.3579 Å, b = 3.8530 Å, c = 5.1799 Å
α = 90.00°, β = 108.34°, γ = 90.00°
Space group C2/m (No. 12)
Unique sites:
Sr1 0.1084 0.0000 0.3312 x4
H1 0.0364 0.5000 0.8000 x4
H2 0.1882 0.0000 0.9201 x4
H3 0.1949 0.5000 0.5707 x4
Pt1 0.1665 0.5000 0.8787 x4

Results
Calculated total energy ... -0.2916 Ry/atom
ρ ... 7.5 Mg/m³

---

Entry 2:
An optimized crystal structure of ZrScAgAu, computed with PBE.

a = 6.8560 Å, b = 6.8560 Å, c = 6.8560 Å
α = 90.00°, β = 90.00°, γ = 90.00°
Space group F-43m (No. 216)
Unique sites:
Zr1 0.0000 0.0000 0.0000 x4
Sc1 0.0000 0.0000 0.5000 x4
Ag1 0.2500 0.2500 0.2500 x4
Au1 0.2500 0.2500 0.7500 x4

Results
Calculated total energy ... -0.4125 Ry/atom
Energy relative to the elements ... -0.360 eV per atom
ρ ... 9.1 Mg/m³

---

Entry 3:
An optimized crystal structure of CeCd4Hg2, computed with PBE.

a = 4.6644 Å, b = 17.7782 Å, c = 4.1599 Å
α = 90.00°, β = 90.00°, γ = 90.00°
Space group Cmmm (No. 65)
Unique sites:
Ce1 0.0000 0.0000 0.0000 x2
Cd1 0.0000 0.1768 0.5000 x4
Cd2 0.0000 0.3058 0.0000 x4
Hg1 0.0000 0.4213 0.5000 x4

Results
Calculated total energy ... -0.1163 Ry/atom
Energy relative to the lowest polymorph listed for this composition ... 0 kJ/mol of formula units
Energy relative to the elements ... -0.126 eV per atom
ρ ... 9.5 Mg/m³